# PBE-GGA Lu2Hf4In3C3, optimized geometry
# Symmetry: C2/c (15)
# Total energy in eV for the cell shown: -184.94
data_Lu2Hf4In3C3
_chemical_formula_sum 'Lu4 Hf8 In6 C6'
_symmetry_space_group_name_H-M 'P 1'
_symmetry_Int_Tables_number 1
_cell_length_a 5.869
_cell_length_b 5.869
_cell_length_c 15.411
_cell_angle_alpha 101.16
_cell_angle_beta 101.16
_cell_angle_gamma 60.02
loop_
_symmetry_equiv_pos_as_xyz
'x,y,z'
loop_
_atom_site_label
_atom_site_type_symbol
_atom_site_fract_x
_atom_site_fract_y
_atom_site_fract_z
C1 C 0.500 0.000 0.000
C2 C 0.844 0.328 0.000
C3 C 0.156 0.672 0.000
C4 C 0.328 0.844 0.500
C5 C 0.000 0.500 0.500
C6 C 0.672 0.156 0.500
Hf1 Hf 0.854 0.693 0.078
Hf2 Hf 0.199 0.020 0.078
Hf3 Hf 0.980 0.801 0.422
Hf4 Hf 0.307 0.146 0.422
Hf5 Hf 0.693 0.854 0.578
Hf6 Hf 0.020 0.199 0.578
Hf7 Hf 0.801 0.980 0.922
Hf8 Hf 0.146 0.307 0.922
In1 In 0.183 0.416 0.249
In2 In 0.985 0.015 0.250
In3 In 0.584 0.817 0.251
In4 In 0.416 0.183 0.749
In5 In 0.015 0.985 0.750
In6 In 0.817 0.584 0.751
Lu1 Lu 0.532 0.370 0.095
Lu2 Lu 0.630 0.468 0.405
Lu3 Lu 0.370 0.532 0.595
Lu4 Lu 0.468 0.630 0.905